Entry from Alexandria: LiFeCu at its PBEsol-relaxed geometry (SCAN).

a = 2.367 Å, b = 4.091 Å, c = 4.091 Å
α = 120.00°, β = 90.00°, γ = 90.00°
Fractional coordinates of all 3 atoms:
Li1 0.290 0.667 0.333
Cu1 0.067 0.000 0.000
Fe1 0.643 0.333 0.667

Results
DOS(E_F) in states/eV per atom: 0.206
ρ in g cm⁻³: 6.1
Magnetic moment in μB per formula unit: 2.98
V in Å³ per atom: 11.44
Relative energy among the computed polymorphs in meV per atom: 0


Entry from Alexandria: Li4Mn3Fe3Cu2O16 at its PBEsol-relaxed geometry (SCAN).

a = 5.584 Å, b = 5.592 Å, c = 9.554 Å
α = 86.97°, β = 90.00°, γ = 119.95°
Fractional coordinates of all 28 atoms:
O1 0.845 0.174 0.105
Mn1 0.172 0.345 0.215
Mn2 0.827 0.163 0.715
Li1 0.323 0.646 0.898
O2 0.685 0.843 0.607
O3 0.954 0.463 0.832
Li2 0.007 0.014 0.494
O4 0.158 0.843 0.607
O5 0.329 0.174 0.105
O6 0.991 0.981 0.814
Fe1 0.179 0.839 0.214
Li3 0.012 0.024 0.996
Cu1 0.672 0.343 0.993
Cu2 0.334 0.669 0.493
O7 0.852 0.704 0.114
Fe2 0.830 0.660 0.712
O8 0.341 0.682 0.105
Fe3 0.660 0.839 0.214
O9 0.670 0.340 0.607
Li4 0.665 0.330 0.398
O10 0.480 0.511 0.326
Mn3 0.336 0.163 0.715
O11 0.503 0.005 0.821
O12 0.032 0.511 0.326
O13 0.509 0.463 0.832
O14 0.481 0.961 0.336
O15 0.161 0.322 0.604
O16 0.994 0.989 0.310

Results
DOS(E_F) in states/eV per atom: 0.165
ρ in g cm⁻³: 4.8
Magnetic moment in μB per formula unit: 13.09
V in Å³ per atom: 9.21
Formation energy without anion corrections in eV/f.u.: -50.0


Entry from Alexandria: Li3Fe4CuO8 at its PBEsol-relaxed geometry (SCAN).

a = 5.809 Å, b = 5.729 Å, c = 5.807 Å
α = 62.01°, β = 59.99°, γ = 59.54°
Fractional coordinates of all 16 atoms:
O1 0.764 0.242 0.735
O2 0.236 0.758 0.265
Li1 0.000 0.500 0.000
Fe1 0.500 0.500 0.500
Cu1 0.500 0.000 0.000
O3 0.751 0.275 0.223
Fe2 0.000 0.000 0.500
O4 0.741 0.758 0.265
O5 0.249 0.725 0.777
O6 0.750 0.795 0.706
Fe3 0.500 0.000 0.500
Li2 0.000 0.500 0.500
Li3 0.500 0.500 0.000
O7 0.259 0.242 0.735
Fe4 0.000 0.000 0.000
O8 0.250 0.205 0.294

Results
DOS(E_F) in states/eV per atom: 0.276
ρ in g cm⁻³: 5.2
Magnetic moment in μB per formula unit: 16.00
V in Å³ per atom: 8.63
Formation energy without anion corrections in eV/f.u.: -25.7


Entry from Alexandria: Li3FeCu2O6 at its PBEsol-relaxed geometry (SCAN).

a = 2.735 Å, b = 5.510 Å, c = 7.499 Å
α = 102.16°, β = 100.51°, γ = 90.00°
Fractional coordinates of all 12 atoms:
O1 0.669 0.598 0.338
O2 0.988 0.223 0.976
O3 0.369 0.885 0.737
O4 0.012 0.777 0.024
Li1 0.149 0.839 0.297
Cu1 0.160 0.362 0.320
Li2 0.500 0.500 0.000
O5 0.631 0.115 0.263
O6 0.331 0.402 0.662
Li3 0.851 0.161 0.703
Fe1 0.500 0.000 0.000
Cu2 0.840 0.638 0.680

Results
DOS(E_F) in states/eV per atom: 0.218
ρ in g cm⁻³: 4.6
Magnetic moment in μB per formula unit: 1.00
V in Å³ per atom: 9.04
Formation energy without anion corrections in eV/f.u.: -18.0


Entry from Alexandria: Li2FeCuO4 at its PBEsol-relaxed geometry (SCAN).

a = 2.747 Å, b = 5.527 Å, c = 5.158 Å
α = 118.36°, β = 90.00°, γ = 90.00°
Fractional coordinates of all 8 atoms:
O1 0.000 0.788 0.237
Li1 0.000 0.000 0.000
Li2 0.500 0.500 0.000
O2 0.500 0.231 0.325
O3 0.500 0.769 0.675
Fe1 0.500 0.000 0.500
Cu1 0.000 0.500 0.500
O4 0.000 0.212 0.763

Results
DOS(E_F) in states/eV per atom: 0.271
ρ in g cm⁻³: 4.8
Magnetic moment in μB per formula unit: 1.00
V in Å³ per atom: 8.61
Relative energy among the computed polymorphs in meV per atom: 0
Formation energy without anion corrections in eV/f.u.: -13.1


Entry from Alexandria: Li4Fe5Cu3O16 at its PBEsol-relaxed geometry (SCAN).

a = 5.539 Å, b = 5.771 Å, c = 9.161 Å
α = 93.73°, β = 90.00°, γ = 118.68°
Fractional coordinates of all 28 atoms:
Fe1 0.676 0.351 0.989
O1 0.365 0.214 0.096
O2 0.012 0.023 0.296
Cu1 0.167 0.830 0.206
O3 0.321 0.642 0.114
Li1 0.994 0.988 0.489
Fe2 0.175 0.349 0.217
O4 0.849 0.214 0.096
O5 0.159 0.318 0.611
O6 0.955 0.461 0.845
Li2 0.336 0.672 0.898
O7 0.185 0.841 0.597
O8 0.523 0.047 0.844
O9 0.031 0.487 0.359
O10 0.506 0.461 0.845
O11 0.466 0.932 0.353
Fe3 0.335 0.670 0.482
O12 0.456 0.487 0.359
Cu2 0.830 0.661 0.709
O13 0.656 0.841 0.597
Li3 0.012 0.024 0.995
Cu3 0.663 0.830 0.206
O14 0.008 0.016 0.802
Li4 0.652 0.305 0.397
Fe4 0.345 0.170 0.713
O15 0.842 0.683 0.077
O16 0.657 0.314 0.604
Fe5 0.824 0.170 0.713

Results
DOS(E_F) in states/eV per atom: 0.355
ρ in g cm⁻³: 4.9
Magnetic moment in μB per formula unit: 6.74
V in Å³ per atom: 9.15
Formation energy without anion corrections in eV/f.u.: -40.7


Entry from Alexandria: Li2FeCuO4 at its PBEsol-relaxed geometry (SCAN).

a = 5.959 Å, b = 5.959 Å, c = 5.959 Å
α = 98.26°, β = 55.07°, γ = 124.82°
Fractional coordinates of all 16 atoms:
O1 0.017 0.210 0.273
O2 0.016 0.750 0.266
Fe1 0.500 0.000 0.000
O3 0.484 0.218 0.266
O4 0.517 0.790 0.193
O5 0.983 0.790 0.727
O6 0.483 0.210 0.807
Cu1 0.000 0.000 0.000
O7 0.984 0.250 0.734
Fe2 0.000 0.000 0.500
Li1 0.500 0.000 0.500
Li2 0.000 0.500 0.000
Cu2 0.500 0.500 0.000
O8 0.516 0.782 0.734
Li3 0.500 0.500 0.500
Li4 0.000 0.500 0.500

Results
DOS(E_F) in states/eV per atom: 0.220
ρ in g cm⁻³: 4.8
Magnetic moment in μB per formula unit: 2.76
V in Å³ per atom: 8.57
Relative energy among the computed polymorphs in meV per atom: 25
Formation energy without anion corrections in eV/f.u.: -12.9


Entry from Alexandria: Li2Fe2CuO6 at its PBEsol-relaxed geometry (SCAN).

a = 7.041 Å, b = 6.236 Å, c = 7.820 Å
α = 70.37°, β = 72.43°, γ = 82.67°
Fractional coordinates of all 33 atoms:
Li1 0.691 0.994 0.829
Li2 0.320 0.663 0.511
O1 0.978 0.354 0.426
O2 0.403 0.690 0.735
O3 0.969 0.988 0.250
O4 0.966 0.316 0.917
O5 0.403 0.012 0.406
O6 0.264 0.977 0.932
Fe1 0.679 0.678 0.662
Li3 0.688 0.335 0.489
Fe2 0.988 0.988 0.005
O7 0.263 0.655 0.260
O8 0.970 0.645 0.583
O9 0.696 0.022 0.084
O10 0.688 0.657 0.900
O11 0.700 0.351 0.749
O12 0.979 0.010 0.767
O13 0.683 0.991 0.574
Cu1 0.334 0.660 0.999
O14 0.689 0.312 0.241
O15 0.983 0.675 0.093
Cu2 0.333 0.334 0.333
Li4 0.346 0.004 0.156
Fe3 0.986 0.667 0.330
O16 0.263 0.321 0.589
O17 0.697 0.679 0.417
Fe4 0.679 0.343 0.001
Cu3 0.333 0.007 0.668
Li5 0.976 0.672 0.837
Li6 0.978 0.332 0.178
O18 0.404 0.346 0.077
Fe5 0.988 0.323 0.665
Fe6 0.681 0.000 0.337

Results
DOS(E_F) in states/eV per atom: 0.261
ρ in g cm⁻³: 4.6
Magnetic moment in μB per formula unit: 3.00
V in Å³ per atom: 9.34
Formation energy without anion corrections in eV/f.u.: -17.2


Which of these has the highest DOS(E_F)? Li4Fe5Cu3O16